# 1
First-principles (PBE) data for a geometry-optimized LiGa3Ir2 structure, as listed in the Alexandria database.

a b c (Å): 5.692 5.692 6.452
angles (deg): 90.00 90.00 120.00
Sites, in units of the cell vectors:
1 Li 0.333 0.667 0.323
2 Li 0.667 0.333 0.677
3 Ga 0.168 0.336 0.685
4 Ga 0.168 0.832 0.685
5 Ga 0.336 0.168 0.315
6 Ga 0.664 0.832 0.685
7 Ga 0.832 0.168 0.315
8 Ga 0.832 0.664 0.315
9 Ir 0.000 0.000 0.000
10 Ir 0.000 0.500 0.000
11 Ir 0.500 0.000 0.000
12 Ir 0.500 0.500 0.000

## Properties
As for the symmetry: P-3m1. The magnetic moment comes out at 0.00 μB/cell. The calculation puts the calculated volume at 15.1 Å³/atom.

# 2
First-principles (PBE) data for a geometry-optimized ZrMnCoPd structure, as listed in the Alexandria database.

a b c (Å): 6.314 6.314 6.314
angles (deg): 90.00 90.00 90.00
Sites, in units of the cell vectors:
1 Zr 0.000 0.000 0.000
2 Zr 0.000 0.500 0.500
3 Zr 0.500 0.000 0.500
4 Zr 0.500 0.500 0.000
5 Mn 0.000 0.000 0.500
6 Mn 0.000 0.500 0.000
7 Mn 0.500 0.000 0.000
8 Mn 0.500 0.500 0.500
9 Co 0.250 0.250 0.250
10 Co 0.250 0.750 0.750
11 Co 0.750 0.250 0.750
12 Co 0.750 0.750 0.250
13 Pd 0.250 0.250 0.750
14 Pd 0.250 0.750 0.250
15 Pd 0.750 0.250 0.250
16 Pd 0.750 0.750 0.750

## Properties
As for the symmetry: F-43m. The magnetic moment comes out at 19.49 μB/cell. The calculation puts the calculated volume at 15.7 Å³/atom.

# 3
First-principles (PBE) data for a geometry-optimized Sc2V2Ge2P structure, as listed in the Alexandria database.

a b c (Å): 4.296 4.296 14.110
angles (deg): 90.00 90.00 90.00
Sites, in units of the cell vectors:
1 Sc 0.000 0.000 0.175
2 Sc 0.000 0.000 0.825
3 Sc 0.500 0.500 0.325
4 Sc 0.500 0.500 0.675
5 V 0.000 0.500 0.000
6 V 0.000 0.500 0.500
7 V 0.500 0.000 0.000
8 V 0.500 0.000 0.500
9 Ge 0.000 0.000 0.374
10 Ge 0.000 0.000 0.626
11 Ge 0.500 0.500 0.126
12 Ge 0.500 0.500 0.874
13 P 0.000 0.000 0.000
14 P 0.500 0.500 0.500

## Properties
As for the symmetry: I4/mmm. The magnetic moment comes out at 3.40 μB/cell. The calculation puts the calculated volume at 18.6 Å³/atom.

The following DOS at the Fermi energy values (in states/eV/atom) correspond, in order, to the records above: 0.281 0.902 1.028.
The following energy of formation from the pure elements values (in eV per atom) correspond, in order, to the records above: -0.261 -0.239 -0.438.